(1)
VASP calculation (PBE) on crystalline TaSN at its relaxed geometry.

Cell and atoms, written as CIF:
```
data_TaSN
_cell_length_a 8.193
_cell_length_b 8.750
_cell_length_c 10.857
_cell_angle_alpha 90.00
_cell_angle_beta 90.00
_cell_angle_gamma 90.00
_symmetry_space_group_name_H-M 'F d d d'
_symmetry_Int_Tables_number 70
loop_
_symmetry_equiv_pos_as_xyz
'x,y,z'
'-x,-y,-z'
'-x+1/4,-y+1/4,z'
'x+1/4,y+1/4,-z'
'x,-y+1/4,-z+1/4'
'-x,y+1/4,z+1/4'
'-x+1/4,y,-z+1/4'
'x+1/4,-y,z+1/4'
'x,y+1/2,z+1/2'
'-x,-y+1/2,-z+1/2'
'-x+1/4,-y+3/4,z+1/2'
'x+1/4,y+3/4,-z+1/2'
'x,-y+3/4,-z+3/4'
'-x,y+3/4,z+3/4'
'-x+1/4,y+1/2,-z+3/4'
'x+1/4,-y+1/2,z+3/4'
'x+1/2,y,z+1/2'
'-x+1/2,-y,-z+1/2'
'-x+3/4,-y+1/4,z+1/2'
'x+3/4,y+1/4,-z+1/2'
'x+1/2,-y+1/4,-z+3/4'
'-x+1/2,y+1/4,z+3/4'
'-x+3/4,y,-z+3/4'
'x+3/4,-y,z+3/4'
'x+1/2,y+1/2,z'
'-x+1/2,-y+1/2,-z'
'-x+3/4,-y+3/4,z'
'x+3/4,y+3/4,-z'
'x+1/2,-y+3/4,-z+1/4'
'-x+1/2,y+3/4,z+1/4'
'-x+3/4,y+1/2,-z+1/4'
'x+3/4,-y+1/2,z+1/4'
loop_
_atom_site_label
_atom_site_fract_x
_atom_site_fract_y
_atom_site_fract_z
Ta1 0.106 0.375 0.375
S1 0.125 0.125 0.490
N1 0.000 0.000 0.000
```

Formation energy (no corrections)   -0.56 eV per atom


(2)
VASP calculation (PBE) on crystalline Rb2In3GaBr6 at its relaxed geometry.

Cell and atoms, written as CIF:
```
data_Rb2In3GaBr6
_cell_length_a 20.763
_cell_length_b 4.775
_cell_length_c 9.540
_cell_angle_alpha 90.00
_cell_angle_beta 102.52
_cell_angle_gamma 90.00
_symmetry_space_group_name_H-M 'C 1 2/m 1'
_symmetry_Int_Tables_number 12
loop_
_symmetry_equiv_pos_as_xyz
'x,y,z'
'-x,-y,-z'
'-x,y,-z'
'x,-y,z'
'x+1/2,y+1/2,z'
'-x+1/2,-y+1/2,-z'
'-x+1/2,y+1/2,-z'
'x+1/2,-y+1/2,z'
loop_
_atom_site_label
_atom_site_fract_x
_atom_site_fract_y
_atom_site_fract_z
Rb1 0.165 0.000 0.325
In1 0.000 0.500 0.500
In2 0.164 0.000 0.833
Ga1 0.000 0.500 0.000
Br1 0.005 0.000 0.762
Br2 0.154 0.500 0.065
Br3 0.162 0.500 0.582
```

Formation energy (no corrections)   -0.98 eV per atom


(3)
VASP calculation (PBE) on crystalline Pm3OsO6F2 at its relaxed geometry.

Cell and atoms, written as CIF:
```
data_Pm3OsO6F2
_cell_length_a 11.448
_cell_length_b 6.687
_cell_length_c 5.001
_cell_angle_alpha 90.00
_cell_angle_beta 93.08
_cell_angle_gamma 90.00
_symmetry_space_group_name_H-M 'C 1 2/m 1'
_symmetry_Int_Tables_number 12
loop_
_symmetry_equiv_pos_as_xyz
'x,y,z'
'-x,-y,-z'
'-x,y,-z'
'x,-y,z'
'x+1/2,y+1/2,z'
'-x+1/2,-y+1/2,-z'
'-x+1/2,y+1/2,-z'
'x+1/2,-y+1/2,z'
loop_
_atom_site_label
_atom_site_fract_x
_atom_site_fract_y
_atom_site_fract_z
Pm1 0.000 0.000 0.000
Pm2 0.250 0.250 0.500
Os1 0.000 0.500 0.500
O1 0.065 0.270 0.285
O2 0.155 0.500 0.707
F1 0.175 0.000 0.775
```

Formation energy (no corrections)   -2.61 eV per atom


(4)
VASP calculation (PBE) on crystalline CaPmAgPt at its relaxed geometry.

Cell and atoms, written as CIF:
```
data_CaPmAgPt
_cell_length_a 4.417
_cell_length_b 3.981
_cell_length_c 11.391
_cell_angle_alpha 90.00
_cell_angle_beta 90.00
_cell_angle_gamma 90.00
_symmetry_space_group_name_H-M 'A m m 2'
_symmetry_Int_Tables_number 38
loop_
_symmetry_equiv_pos_as_xyz
'x,y,z'
'-x,-y,z'
'-x,y,z'
'x,-y,z'
'x,y+1/2,z+1/2'
'-x,-y+1/2,z+1/2'
'-x,y+1/2,z+1/2'
'x,-y+1/2,z+1/2'
loop_
_atom_site_label
_atom_site_fract_x
_atom_site_fract_y
_atom_site_fract_z
Ca1 0.000 0.000 0.000
Pm1 0.500 0.000 0.720
Ag1 0.500 0.000 0.436
Pt1 0.000 0.000 0.269
```

DFT formation energy   -0.691 eV per atom


One value per record, in order, for magnetization: 0.000; 0.000; 6.000; 0.000 μB/cell.